(1)
DFT (PBE-GGA) results for a relaxed structure of NdSnSb2.

Cell: 5.072 5.072 4.360 Å, 90.00 90.00 90.00°
Space group P4/mmm (No. 123)
Symmetry-distinct sites (fractional):
Nd 0.000 0.000 0.000
Sn 0.500 0.500 0.000
Sb 0.000 0.500 0.500

Computed properties:
The value obtained for the spin magnetization is 0.00 Bohr magnetons per cell. The energy comes out at -4.757 eV/atom. As for the energy above the most stable polymorph in this dataset: 0.14 eV per formula unit. The calculation puts the mass density at 7.50 Mg/m³. For the density of states at the Fermi level, the calculation gives 0.52 states/eV/atom.


(2)
DFT (PBE-GGA) results for a relaxed structure of Tm2GePd4Au2.

Cell: 6.105 6.105 9.616 Å, 90.00 90.00 90.00°
Space group I4/mmm (No. 139)
Symmetry-distinct sites (fractional):
Tm 0.000 0.000 0.211
Ge 0.000 0.000 0.500
Pd 0.225 0.225 0.000
Au 0.000 0.500 0.250

Computed properties:
The value obtained for the spin magnetization is 0.00 Bohr magnetons per cell. The energy comes out at -4.972 eV/atom. The calculation puts the mass density at 11.40 Mg/m³. For the density of states at the Fermi level, the calculation gives 0.62 states/eV/atom. As for the formation energy: -0.429 eV per atom.


(3)
DFT (PBE-GGA) results for a relaxed structure of BaLiAl2.

Cell: 4.639 5.687 8.026 Å, 90.00 90.00 90.00°
Space group Imm2 (No. 44)
Symmetry-distinct sites (fractional):
Ba 0.000 0.000 0.000
Li 0.000 0.500 0.801
Al 0.000 0.000 0.537
Al 0.000 0.500 0.207

Computed properties:
The value obtained for the spin magnetization is 0.00 Bohr magnetons per cell. The energy comes out at -2.844 eV/atom. As for the energy above the most stable polymorph in this dataset: 0.66 eV per formula unit. The calculation puts the mass density at 3.11 Mg/m³. For the density of states at the Fermi level, the calculation gives 0.67 states/eV/atom. As for the formation energy: -0.014 eV per atom.


Number 3 is which compound? BaLiAl2